[1]
Compound: CaNdTm
Source: Alexandria via LeMat-Bulk
Functional: GGA-PBE
Structure: relaxed

For the calculated formation energy, the calculation gives 0.063 eV/atom. The total energy comes out at -3.68 eV/atom.

Cell lengths 3.6455, 3.6455, 9.1188 Å; angles 90.00, 90.00, 120.00 degrees
Closest atoms and distances in Å follow each position.
Space group P3m1 (No. 156)
Unique sites:
Ca: 0.0000 0.0000 0.0000  6 Ca 3.65, 3 Tm 3.74, 3 Nd 3.87
Nd: 0.3333 0.6667 0.6434  3 Tm 3.49, 6 Nd 3.65, 3 Ca 3.87
Tm: 0.6667 0.3333 0.3387  3 Nd 3.49, 6 Tm 3.65, 3 Ca 3.74


[2]
Compound: TlSn3Au
Source: Alexandria via LeMat-Bulk
Functional: GGA-PBE
Structure: relaxed

For the calculated formation energy, the calculation gives -0.025 eV/atom. The total energy comes out at -3.56 eV/atom.

Cell lengths 17.0734, 4.7402, 7.0326 Å; angles 90.00, 102.82, 90.00 degrees
Closest atoms and distances in Å follow each position.
Space group C2/m (No. 12)
Unique sites:
Tl: 0.0726 0.0000 0.3689  5 Sn 3.33-3.44, 1 Tl 3.40, 2 Au 3.63
Sn: 0.0532 0.5000 0.8468  4 Sn 3.03-3.22, 1 Au 3.32, 2 Tl 3.33
Sn: 0.1628 0.0000 0.9774  3 Au 2.85-2.94, 2 Sn 3.03
Sn: 0.1970 0.5000 0.6178  3 Au 2.82-2.93
Au: 0.2096 0.5000 0.2249  6 Sn 2.82-2.94


[3]
Compound: Mn2CrSi
Source: Alexandria via LeMat-Bulk
Functional: GGA-PBE
Structure: relaxed

The total energy comes out at -8.33 eV/atom. As for the uncorrected formation energy: 0.01 eV per atom.

Cell lengths 2.5858, 2.5858, 23.5452 Å; angles 90.00, 90.00, 120.00 degrees
Closest atoms and distances in Å follow each position.
Space group R-3m (No. 166, hexagonal axes)
Unique sites:
Mn: 0.0000 0.0000 0.2498  3 Si 2.46, 3 Cr 2.47, 6 Mn 2.59
Cr: 0.0000 0.0000 0.0000  6 Mn 2.47, 6 Cr 2.59
Si: 0.0000 0.0000 0.5000  6 Mn 2.46, 6 Si 2.59


[4]
Compound: LiZrO2
Source: Alexandria via LeMat-Bulk
Functional: GGA-PBE
Structure: relaxed

The total energy comes out at -7.55 eV/atom. As for the uncorrected formation energy: -2.45 eV per atom.

Cell lengths 3.0983, 3.0983, 16.5113 Å; angles 90.00, 90.00, 120.00 degrees
Closest atoms and distances in Å follow each position.
Space group R3m (No. 160, hexagonal axes)
Unique sites:
Li: 0.0000 0.0000 0.0000  6 O 2.18-2.40
Zr: 0.0000 0.0000 0.1761  6 O 2.21-2.24
O: 0.0000 0.0000 0.5908  3 Li 2.18, 3 Zr 2.24
O: 0.0000 0.0000 0.7639  3 Zr 2.21, 3 Li 2.40


[5]
Compound: Tb4AlSn
Source: Alexandria via LeMat-Bulk
Functional: GGA-PBE
Structure: relaxed

For the calculated formation energy, the calculation gives -0.197 eV/atom. The total energy comes out at -4.57 eV/atom.

Cell lengths 5.5146, 21.1126, 6.4150 Å; angles 90.00, 90.00, 90.00 degrees
Closest atoms and distances in Å follow each position.
Space group Cmcm (No. 63)
Unique sites:
Tb: 0.0000 0.0605 0.2500  3 Al 2.93-3.23
Tb: 0.0000 0.2029 0.0024  1 Al 3.09, 5 Tb 3.18-3.40, 3 Sn 3.33-3.38
Tb: 0.0000 0.3790 0.2500  2 Al 2.90
Al: 0.0000 0.0783 0.7500  7 Tb 2.90-3.23
Sn: 0.0000 0.3432 0.7500  10 Tb 3.30-3.43


[6]
Compound: In3GaCl4
Source: Alexandria via LeMat-Bulk
Functional: GGA-PBE
Structure: relaxed

The total energy comes out at -3.10 eV/atom. As for the uncorrected formation energy: -0.78 eV per atom.

Cell lengths 12.3567, 6.7289, 6.3136 Å; angles 90.00, 90.00, 90.00 degrees
Closest atoms and distances in Å follow each position.
Space group Pmn2_1 (No. 31)
Unique sites:
In: 0.0000 0.2321 0.0000  4 Cl 2.91-3.20
In: 0.2455 0.7542 0.9832  4 Cl 2.89-3.20
Ga: 0.0000 0.7151 0.4872  2 Cl 2.66-2.77
Cl: 0.0000 0.3219 0.5311  1 Ga 2.66
Cl: 0.0000 0.6611 0.0519  1 Ga 2.77, 1 In 2.91
Cl: 0.2467 0.6742 0.4557  3 In 2.89-3.20, 1 Ga 3.07